No. 1
DFT (GGA-PBEsol) results for crystalline RbLi2As at its relaxed geometry.

Its total energy is -2.904 eV/atom. For the spin magnetization, the calculation gives 0.00 μB per cell.

It has space group I4_1/amd (No. 141, origin choice 2), with a = 5.618 Å, b = 5.618 Å, c = 15.491 Å, α = 90.00°, β = 90.00° and γ = 90.00°. The inequivalent atoms are Rb at (0.000, 0.250, 0.375), Li at (0.000, 0.000, 0.000) and As at (0.000, 0.250, 0.875).

No. 2
DFT (GGA-PBEsol) results for crystalline RbLi3As at its relaxed geometry.

Its total energy is -2.761 eV/atom. For the spin magnetization, the calculation gives 0.00 μB per cell.

It has space group Pm-3m (No. 221), with a = 5.041 Å, b = 5.041 Å, c = 5.041 Å, α = 90.00°, β = 90.00° and γ = 90.00°. The inequivalent atoms are Rb at (0.000, 0.000, 0.000), Li at (0.000, 0.500, 0.500) and As at (0.500, 0.500, 0.500).